# Pr5Sn3Au

Crystalline Pr5Sn3Au at its relaxed geometry (PBEsol, the Alexandria database).

The energy relative to the elements is -6.78 eV/f.u.

The space group is P6_3/mcm (No. 193) and the conventional cell measures 9.4836, 9.4836 and 6.7110 Å, with angles of 90.00, 90.00 and 120.00 degrees. The inequivalent atoms are Pr at (0.0000, 0.2689, 0.2500), Pr at (0.3333, 0.6667, 0.0000), Sn at (0.0000, 0.3824, 0.7500) and Au at (0.0000, 0.0000, 0.0000).



# Pt5Au

Crystalline Pt5Au at its relaxed geometry (PBEsol, the Alexandria database).

The energy relative to the elements is 0.54 eV/f.u.

The space group is Cm (No. 8) and the conventional cell measures 10.5372, 2.7371 and 6.7196 Å, with angles of 90.00, 107.82 and 90.00 degrees. The inequivalent atoms are Pt at (0.0000, 0.0000, 0.0000), Pt at (0.0601, 0.0000, 0.6162), Pt at (0.1634, 0.5000, 0.3288), Pt at (0.2230, 0.5000, 0.9530), Pt at (0.3912, 0.0000, 0.2800) and Au at (0.3329, 0.0000, 0.6642).